This record from the Open Quantum Materials Database describes an optimized crystal structure of PuHfZr. The functional is GGA-PBE.

The space group is F-43m (No. 216) and the conventional cell measures 6.718, 6.718 and 6.718 Å, with angles of 90.00, 90.00 and 90.00 degrees. The inequivalent atoms are Pu at (0.000, 0.000, 0.000), Hf at (0.250, 0.250, 0.250) and Zr at (0.000, 0.000, 0.500).

The calculation puts the calculated density at 11.26 g/cm³. As for the total DFT energy (no corrections): -30.1 eV/f.u.